# GGA-PBE ThPa2ReN5, relaxed
data_ThPa2ReN5
_chemical_formula_sum 'Th4 Pa8 Re4 N20'
_space_group_name_H-M_alt 'I 4/m c m'
_space_group_IT_number 140
_space_group_name_Hall '-I 4 2c'
_cell_length_a 6.544
_cell_length_b 6.544
_cell_length_c 11.740
_cell_angle_alpha 90.00
_cell_angle_beta 90.00
_cell_angle_gamma 90.00
loop_
_atom_site_label
_atom_site_type_symbol
_atom_site_fract_x
_atom_site_fract_y
_atom_site_fract_z
_atom_site_occupancy
Th1 Th 0.000 0.000 0.250 1
Pa1 Pa 0.176 0.324 0.000 1
Re1 Re 0.000 0.500 0.250 1
N1 N 0.000 0.000 0.000 1
N2 N 0.153 0.347 0.367 1
# Total magnetization   0.0 μB per formula unit
# Total energy   -10.117 eV/atom
# Formation energy without anion corrections   -10.57 eV per formula unit